# 1
Below is a relaxed structure of Pm4Tm3Au4, with properties calculated at the PBE-GGA level.

Unit cell a=9.9861 b=9.9861 c=9.9861 alpha=158.46 beta=124.28 gamma=60.44
Closest atoms and distances in Å follow each position.
Positions (direct):
Pm: 0.0231 0.8395 0.1835  4 Au 3.06-3.23
Pm: 0.3440 0.1605 0.1835  4 Au 3.06-3.23
Pm: 0.6560 0.8395 0.8165  4 Au 3.06-3.23
Pm: 0.9769 0.1605 0.8165  4 Au 3.06-3.23
Tm: 0.0000 0.5000 0.5000  4 Au 3.54, 2 Tm 3.73, 8 Pm 3.75
Tm: 0.3995 0.3995 0.0000  6 Au 3.00-3.04
Tm: 0.6005 0.6005 0.0000  6 Au 3.00-3.04
Au: 0.2631 0.7631 0.5000  2 Tm 3.00, 6 Pm 3.09-3.23
Au: 0.3227 0.0000 0.3227  4 Tm 3.04, 2 Pm 3.06, 1 Au 3.31
Au: 0.6773 0.0000 0.6773  4 Tm 3.04, 2 Pm 3.06, 1 Au 3.31
Au: 0.7369 0.2369 0.5000  2 Tm 3.00, 6 Pm 3.09-3.23

Summary:
**Calculated formation energy**: -0.526 eV/atom
**Raw total energy**: -4.665 eV/atom
**DOS at the Fermi energy**: 1.03 states/eV per atom



# 2
Below is a relaxed structure of PmTmAu, with properties calculated at the PBE-GGA level.

Unit cell a=6.2544 b=6.2544 c=7.1226 alpha=120.19 beta=120.19 gamma=44.42
Closest atoms and distances in Å follow each position.
Positions (direct):
Pm: 0.0688 0.0688 0.3285  3 Au 3.12-3.19
Pm: 0.9312 0.9312 0.6715  3 Au 3.12-3.19
Tm: 0.3236 0.3236 0.9157  3 Au 2.86-2.98
Tm: 0.6764 0.6764 0.0843  3 Au 2.86-2.98
Au: 0.3466 0.3466 0.3364  3 Tm 2.86-2.98, 1 Au 3.01, 3 Pm 3.12-3.19
Au: 0.6534 0.6534 0.6636  3 Tm 2.86-2.98, 1 Au 3.01, 3 Pm 3.12-3.19

Summary:
**Calculated formation energy**: -0.526 eV/atom
**Raw total energy**: -4.692 eV/atom
**DOS at the Fermi energy**: 1.18 states/eV per atom



# 3
Below is a relaxed structure of PmTm2Au, with properties calculated at the PBE-GGA level.

Unit cell a=4.7151 b=4.7151 c=4.7333 alpha=90.00 beta=90.00 gamma=90.00
Closest atoms and distances in Å follow each position.
Positions (direct):
Pm: 0.0000 0.0000 0.0000  4 Au 3.33, 8 Tm 3.34
Tm: 0.0000 0.5000 0.5000  4 Tm 3.33, 4 Pm 3.34, 4 Au 3.34
Tm: 0.5000 0.0000 0.5000  4 Tm 3.33, 4 Pm 3.34, 4 Au 3.34
Au: 0.5000 0.5000 0.0000  4 Pm 3.33, 8 Tm 3.34

Summary:
**Calculated formation energy**: -0.242 eV/atom
**Raw total energy**: -4.484 eV/atom
**DOS at the Fermi energy**: 1.35 states/eV per atom



# 4
Below is a relaxed structure of PmTm2Au, with properties calculated at the PBE-GGA level.

Unit cell a=10.1089 b=10.1089 c=10.1089 alpha=21.09 beta=21.09 gamma=21.09
Closest atoms and distances in Å follow each position.
Positions (direct):
Pm: 0.0000 0.0000 0.0000  6 Tm 3.63, 6 Pm 3.70
Tm: 0.2344 0.2344 0.2344  3 Au 2.93
Tm: 0.7656 0.7656 0.7656  3 Au 2.93
Au: 0.5000 0.5000 0.5000  6 Tm 2.93

Summary:
**Calculated formation energy**: -0.297 eV/atom
**Raw total energy**: -4.540 eV/atom
**DOS at the Fermi energy**: 1.23 states/eV per atom



# 5
Below is a relaxed structure of PmTmAu2, with properties calculated at the PBE-GGA level.

Unit cell a=4.7165 b=5.8542 c=5.8542 alpha=37.41 beta=90.00 gamma=90.00
Closest atoms and distances in Å follow each position.
Positions (direct):
Pm: 0.0000 0.0000 0.0000  7 Au 3.01-3.16
Tm: 0.5000 0.2775 0.2775  7 Au 3.06-3.12
Au: 0.0000 0.7290 0.7290  3 Pm 3.01-3.16, 2 Au 3.06, 4 Tm 3.06
Au: 0.5000 0.5532 0.5532  3 Tm 3.06-3.12, 2 Au 3.06, 4 Pm 3.07

Summary:
**Calculated formation energy**: -0.848 eV/atom
**Raw total energy**: -4.793 eV/atom
**DOS at the Fermi energy**: 0.61 states/eV per atom



# 6
Below is a relaxed structure of PmTm2Au, with properties calculated at the PBE-GGA level.

Unit cell a=3.5959 b=3.5959 c=8.4885 alpha=90.00 beta=90.00 gamma=90.00
Closest atoms and distances in Å follow each position.
Positions (direct):
Pm: 0.0000 0.0000 0.0000  8 Tm 3.59, 4 Pm 3.60
Tm: 0.5000 0.5000 0.2989  4 Au 3.06, 1 Tm 3.41
Tm: 0.5000 0.5000 0.7011  4 Au 3.06, 1 Tm 3.41
Au: 0.0000 0.0000 0.5000  8 Tm 3.06

Summary:
**Calculated formation energy**: -0.417 eV/atom
**Raw total energy**: -4.660 eV/atom
**DOS at the Fermi energy**: 1.42 states/eV per atom



# 7
Below is a relaxed structure of Pm3TmAu4, with properties calculated at the PBE-GGA level.

Unit cell a=3.6398 b=3.6398 c=14.7503 alpha=90.00 beta=90.00 gamma=90.00
Closest atoms and distances in Å follow each position.
Positions (direct):
Pm: 0.0000 0.0000 0.0000  8 Au 3.17
Pm: 0.0000 0.0000 0.2545  8 Au 3.20-3.24
Pm: 0.0000 0.0000 0.7455  8 Au 3.20-3.24
Tm: 0.0000 0.0000 0.5000  8 Au 3.06
Au: 0.5000 0.5000 0.1259  8 Pm 3.17-3.20
Au: 0.5000 0.5000 0.3877  4 Tm 3.06, 4 Pm 3.24, 1 Au 3.31
Au: 0.5000 0.5000 0.6123  4 Tm 3.06, 4 Pm 3.24, 1 Au 3.31
Au: 0.5000 0.5000 0.8741  8 Pm 3.17-3.20

Summary:
**Calculated formation energy**: -0.810 eV/atom
**Raw total energy**: -4.789 eV/atom
**DOS at the Fermi energy**: 0.57 states/eV per atom



# 8
Below is a relaxed structure of Pm2TmAu4, with properties calculated at the PBE-GGA level.

Unit cell a=7.5014 b=7.5014 c=7.5014 alpha=139.23 beta=139.23 gamma=59.02
Closest atoms and distances in Å follow each position.
Positions (direct):
Pm: 0.2222 0.2222 0.0000  4 Au 2.97
Pm: 0.7778 0.7778 0.0000  4 Au 2.97
Tm: 0.5000 0.5000 0.0000  8 Au 3.01
Au: 0.1140 0.6140 0.5000  2 Pm 2.97, 1 Au 2.98, 2 Tm 3.01
Au: 0.3860 0.8860 0.5000  2 Pm 2.97, 1 Au 2.98, 2 Tm 3.01
Au: 0.6140 0.1140 0.5000  2 Pm 2.97, 1 Au 2.98, 2 Tm 3.01
Au: 0.8860 0.3860 0.5000  2 Pm 2.97, 1 Au 2.98, 2 Tm 3.01

Summary:
**Calculated formation energy**: -0.685 eV/atom
**Raw total energy**: -4.554 eV/atom
**DOS at the Fermi energy**: 0.76 states/eV per atom



# 9
Below is a relaxed structure of PmTm2Au2, with properties calculated at the PBE-GGA level.

Unit cell a=5.2373 b=4.8509 c=10.7269 alpha=90.00 beta=94.99 gamma=90.00
Closest atoms and distances in Å follow each position.
Positions (direct):
Pm: 0.1993 0.2500 0.2378  3 Au 3.16-3.41
Pm: 0.8007 0.7500 0.7622  3 Au 3.16-3.41
Tm: 0.2498 0.7500 0.4938  4 Au 2.82-2.93
Tm: 0.3270 0.2500 0.8884  5 Au 2.78-2.93
Tm: 0.6730 0.7500 0.1116  5 Au 2.78-2.93
Tm: 0.7502 0.2500 0.5062  4 Au 2.82-2.93
Au: 0.1630 0.7500 0.0132  4 Tm 2.79-2.93, 2 Au 2.97
Au: 0.2725 0.2500 0.6284  5 Tm 2.78-2.93
Au: 0.7275 0.7500 0.3716  5 Tm 2.78-2.93
Au: 0.8370 0.2500 0.9868  4 Tm 2.79-2.93, 2 Au 2.97

Summary:
**Calculated formation energy**: -0.634 eV/atom
**Raw total energy**: -4.684 eV/atom
**DOS at the Fermi energy**: 1.18 states/eV per atom



# 10
Below is a relaxed structure of Pm2TmAu4, with properties calculated at the PBE-GGA level.

Unit cell a=8.3960 b=8.3960 c=8.3960 alpha=143.41 beta=143.41 gamma=52.71
Closest atoms and distances in Å follow each position.
Positions (direct):
Pm: 0.1209 0.1209 0.0000  5 Au 2.93-3.20
Pm: 0.8791 0.8791 0.0000  5 Au 2.93-3.20
Tm: 0.5000 0.5000 0.0000  6 Au 2.64-2.78
Au: 0.0000 0.5000 0.5000  2 Tm 2.64
Au: 0.3154 0.3154 0.0000  1 Tm 2.78, 1 Pm 2.93
Au: 0.5000 0.0000 0.5000  2 Tm 2.64
Au: 0.6846 0.6846 0.0000  1 Tm 2.78, 1 Pm 2.93

Summary:
**Calculated formation energy**: -0.329 eV/atom
**Raw total energy**: -4.198 eV/atom
**DOS at the Fermi energy**: 0.80 states/eV per atom



# 11
Below is a relaxed structure of Pm5TmAu6, with properties calculated at the PBE-GGA level.

Unit cell a=9.0081 b=9.0081 c=5.1936 alpha=106.71 beta=106.71 gamma=47.85
Closest atoms and distances in Å follow each position.
Positions (direct):
Pm: 0.0000 0.0000 0.0000  8 Au 3.15-3.25
Pm: 0.1652 0.1652 0.6653  8 Au 3.21-3.24
Pm: 0.3310 0.3310 0.3315  8 Au 3.14-3.27
Pm: 0.6690 0.6690 0.6685  8 Au 3.14-3.27
Pm: 0.8348 0.8348 0.3347  8 Au 3.21-3.24
Tm: 0.5000 0.5000 0.0000  8 Au 3.07-3.10
Au: 0.0988 0.5797 0.8397  1 Tm 3.07, 7 Pm 3.14-3.27
Au: 0.2679 0.7321 0.5000  2 Tm 3.10, 6 Pm 3.14-3.25, 1 Au 3.39
Au: 0.4203 0.9012 0.1603  1 Tm 3.07, 7 Pm 3.14-3.27
Au: 0.5797 0.0988 0.8397  1 Tm 3.07, 7 Pm 3.14-3.27
Au: 0.7321 0.2679 0.5000  2 Tm 3.10, 6 Pm 3.14-3.25, 1 Au 3.39
Au: 0.9012 0.4203 0.1603  1 Tm 3.07, 7 Pm 3.14-3.27

Summary:
**Calculated formation energy**: -0.799 eV/atom
**Raw total energy**: -4.790 eV/atom
**DOS at the Fermi energy**: 0.69 states/eV per atom



# 12
Below is a relaxed structure of PmTmAu, with properties calculated at the PBE-GGA level.

Unit cell a=4.8890 b=4.8890 c=3.9836 alpha=90.00 beta=90.00 gamma=120.00
Closest atoms and distances in Å follow each position.
Positions (direct):
Pm: 0.0000 0.0000 0.0000  3 Au 3.17, 6 Tm 3.42-3.49
Tm: 0.6667 0.3333 0.5166  3 Au 2.89
Au: 0.3333 0.6667 0.3637  3 Tm 2.89, 3 Pm 3.17

Summary:
**Calculated formation energy**: -0.414 eV/atom
**Raw total energy**: -4.581 eV/atom
**DOS at the Fermi energy**: 0.91 states/eV per atom